# 1
Computed, not measured: crystalline PaAuO4 at its relaxed geometry at the PBE level of DFT.

Properties
Space group: I4_1/amd, No. 141
Mass density (Mg/m³): 9.1
V (Å³/f.u.): 90.1
Formation energy (no corrections) (eV per atom): -1.7999

```
PaAuO4
1.0
-3.494 3.494 3.688
3.494 -3.494 3.688
3.494 3.494 -3.688
Pa Au O
2 2 8
direct
0.375 0.625 0.750
0.625 0.375 0.250
0.125 0.875 0.250
0.875 0.125 0.750
0.079 0.647 0.432
0.285 0.353 0.932
0.353 0.285 0.432
0.353 0.921 0.068
0.647 0.079 0.932
0.647 0.715 0.568
0.715 0.647 0.068
0.921 0.353 0.568
```

***

# 2
Computed, not measured: crystalline ZnIrRh2I at its relaxed geometry at the PBE level of DFT.

Properties
Space group: P4/mmm, No. 123
Mass density (Mg/m³): 9.5
V (Å³/f.u.): 103.7
Formation energy (no corrections) (eV per atom): 1.6423

```
ZnIrRh2I
1.0
4.560 0.000 0.000
0.000 4.560 0.000
0.000 0.000 4.987
Zn Ir Rh I
1 1 2 1
direct
0.000 0.000 0.000
0.500 0.500 0.500
0.000 0.500 0.000
0.500 0.000 0.000
0.000 0.000 0.500
```